# 1
The following is a DFT calculation (PBE) of Ce2Te7Br2O17 after structural relaxation.

## Properties
Uncorrected formation energy (eV per atom): -1.502
Mass density (g/cm3): 5.06
Crystal system: monoclinic
E_tot (eV/cell): -327.127

a = 5.4980 Å, b = 9.9492 Å, c = 19.4344 Å
α = 97.63°, β = 90.00°, γ = 90.00°
Sites, in units of the cell vectors:
Te (0.0221, 0.4308, 0.2556)
Te (0.6025, 0.1266, 0.9094)
Te (0.3975, 0.6266, 0.4094)
Te (0.5654, 0.7500, 0.2500)
Te (0.3975, 0.8734, 0.0906)
Te (0.3275, 0.1842, 0.4212)
Te (0.9779, 0.9308, 0.7556)
Te (0.3275, 0.3158, 0.0788)
Te (0.4346, 0.2500, 0.7500)
Te (0.6725, 0.6842, 0.9212)
Te (0.6025, 0.3734, 0.5906)
Te (0.9779, 0.5692, 0.7444)
Te (0.6725, 0.8158, 0.5788)
Te (0.0221, 0.0692, 0.2444)
O (0.7163, 0.4728, 0.6990)
O (0.1034, 0.0802, 0.4677)
O (0.4057, 0.2434, 0.5235)
O (0.8740, 0.9488, 0.6626)
O (0.3623, 0.3043, 0.6502)
O (0.3623, 0.1957, 0.8498)
O (0.8740, 0.5512, 0.8374)
O (0.4248, 0.9485, 0.5894)
O (0.1902, 0.2500, 0.2500)
O (0.1625, 0.7382, 0.1001)
O (0.2837, 0.9728, 0.1990)
O (0.7960, 0.6153, 0.2145)
O (0.5752, 0.0515, 0.4106)
O (0.8098, 0.7500, 0.7500)
O (0.8375, 0.2382, 0.6001)
O (0.4248, 0.5515, 0.9106)
O (0.2040, 0.1153, 0.7145)
O (0.5943, 0.7434, 0.0235)
O (0.2837, 0.5272, 0.3010)
O (0.1034, 0.4198, 0.0323)
O (0.4057, 0.2566, 0.9765)
O (0.7960, 0.8847, 0.2855)
O (0.5752, 0.4485, 0.0894)
O (0.5943, 0.7566, 0.4765)
O (0.1260, 0.4488, 0.1626)
O (0.8966, 0.9198, 0.5323)
O (0.8966, 0.5802, 0.9677)
O (0.6377, 0.6957, 0.3498)
O (0.1625, 0.7618, 0.3999)
O (0.2040, 0.3847, 0.7855)
O (0.8375, 0.2618, 0.8999)
O (0.6377, 0.8043, 0.1502)
O (0.1260, 0.0512, 0.3374)
O (0.7163, 0.0272, 0.8010)
Br (0.1805, 0.6073, 0.5809)
Br (0.8195, 0.3927, 0.4191)
Br (0.1805, 0.8927, 0.9191)
Br (0.8195, 0.1073, 0.0809)
Ce (0.8662, 0.9053, 0.4084)
Ce (0.1338, 0.4053, 0.9084)
Ce (0.8662, 0.5947, 0.0916)
Ce (0.1338, 0.0947, 0.5916)

---

# 2
The following is a DFT calculation (PBE) of Ce2OsBr after structural relaxation.

## Properties
Uncorrected formation energy (eV per atom): -0.725
Mass density (g/cm3): 8.26
Crystal system: trigonal
E_tot (eV/cell): -27.670
DOS(E_F) (states/eV/cell): 9.722
Polymorph energy (0 for the lowest one) (eV per atom): 0.028

a = 4.0430 Å, b = 4.0430 Å, c = 8.1539 Å
α = 75.65°, β = 75.65°, γ = 60.00°
Sites, in units of the cell vectors:
Ce (0.2695, 0.2695, 0.1915)
Ce (0.0647, 0.0647, 0.8060)
Br (0.4978, 0.4978, 0.5065)
Os (0.6680, 0.6680, 0.9960)

---

> The highest uncorrected formation energy belongs to which entry?

Ce2OsBr

---

> The highest E_tot belongs to which entry?

Ce2OsBr

---

> mass density of number 1 (Ce2Te7Br2O17)?

5.06 g/cm3